# 1
VASP calculation (PBE-GGA) on a relaxed structure of MgSb3W.

Calculated values
The crystal system is cubic. The formation energy without anion corrections comes out at 0.60 eV/atom. Its space-group type is Pm-3m. As for the electronic total energy: -4.7834 eV/atom. The value obtained for the relative energy among the computed polymorphs is 0 kJ/mol of formula units. The calculation puts the size of the total moment at 0.000 μB/cell.

Cell lengths 5.292, 5.292, 5.292 Å; angles 90.00, 90.00, 90.00 degrees
Fractional positions:
1 Mg 0.000 0.000 0.000
2 Sb 0.000 0.500 0.500
3 Sb 0.500 0.000 0.500
4 Sb 0.500 0.500 0.000
5 W 0.500 0.500 0.500


# 2
VASP calculation (PBE-GGA) on a relaxed structure of Nd2DyAs3Rh12.

Calculated values
The calculated formation energy comes out at -285.6 meV/atom. The crystal system is trigonal. Its space-group type is R-3m. As for the electronic total energy: -6.7469 eV/atom. The calculation puts the size of the total moment at 0.000 μB/cell.

Cell lengths 6.839, 6.839, 6.839 Å; angles 84.19, 84.19, 84.19 degrees
Fractional positions:
1 Nd 0.143 0.143 0.143
2 Nd 0.857 0.857 0.857
3 Dy 0.500 0.500 0.500
4 As 0.000 0.500 0.500
5 As 0.500 0.000 0.500
6 As 0.500 0.500 0.000
7 Rh 0.122 0.122 0.602
8 Rh 0.122 0.602 0.122
9 Rh 0.179 0.685 0.685
10 Rh 0.315 0.315 0.821
11 Rh 0.315 0.821 0.315
12 Rh 0.398 0.878 0.878
13 Rh 0.602 0.122 0.122
14 Rh 0.685 0.179 0.685
15 Rh 0.685 0.685 0.179
16 Rh 0.821 0.315 0.315
17 Rh 0.878 0.398 0.878
18 Rh 0.878 0.878 0.398


# 3
VASP calculation (PBE-GGA) on a relaxed structure of ErTmGaIr.

Calculated values
The calculated formation energy comes out at -728.4 meV/atom. The crystal system is cubic. Its space-group type is F-43m. As for the electronic total energy: -5.9589 eV/atom. The value obtained for the relative energy among the computed polymorphs is 17 kJ/mol of formula units. The calculation puts the size of the total moment at 0.000 μB/cell.

Cell lengths 4.899, 4.899, 4.899 Å; angles 60.00, 60.00, 60.00 degrees
Fractional positions:
1 Er 0.000 0.000 0.000
2 Tm 0.500 0.500 0.500
3 Ga 0.750 0.750 0.750
4 Ir 0.250 0.250 0.250


# 4
VASP calculation (PBE-GGA) on a relaxed structure of IrRuRh2.

Calculated values
The calculated formation energy comes out at 309.9 meV/atom. The crystal system is monoclinic. Its space-group type is P2/m. As for the electronic total energy: -7.9000 eV/atom. The value obtained for the relative energy among the computed polymorphs is 124 kJ/mol of formula units. The calculation puts the size of the total moment at 0.345 μB/cell.

Cell lengths 2.692, 4.679, 4.646 Å; angles 90.00, 90.24, 90.00 degrees
Fractional positions:
1 Ir 0.000 0.000 0.000
2 Ru 0.500 0.000 0.500
3 Rh 0.251 0.500 0.250
4 Rh 0.749 0.500 0.750


Look up the size of the total moment of the second one. 0.000 μB/cell


What is the formula in the fourth record? IrRuRh2